Entry 1:
DFT (GGA-PBE) results for a relaxed Tm4AlTe2 crystal.

a = 8.0697 Å, b = 8.0697 Å, c = 8.0662 Å
α = 109.04°, β = 109.03°, γ = 110.36°
Closest atoms and distances in Å follow each position.
Sites, in units of the cell vectors:
Al: 0.2499 0.7498 0.5000  4 Tm 2.90
Tm: 0.3013 0.4959 0.1950  1 Al 2.90, 3 Te 3.03-3.05
Tm: 0.9490 0.6436 0.6949  1 Al 2.90, 3 Te 3.03-3.05
Te: 0.6250 0.8750 0.2500  6 Tm 3.03-3.05
Te: 0.6250 0.3750 0.2500  6 Tm 3.03-3.05
Tm: 0.7459 0.0512 0.6948  1 Al 2.90, 3 Te 3.03-3.05
Tm: 0.3564 0.0511 0.3052  1 Al 2.90, 3 Te 3.03-3.05
Tm: 0.5041 0.6988 0.8052  1 Al 2.90, 3 Te 3.03-3.05
Tm: 0.9487 0.2541 0.3051  1 Al 2.90, 3 Te 3.03-3.05
Te: 0.6250 0.3750 0.7500  6 Tm 3.03-3.05
Al: 0.0001 0.0001 0.0000  4 Tm 2.90
Te: 0.1250 0.3750 0.7500  6 Tm 3.03-3.05
Tm: 0.3009 0.1064 0.8050  1 Al 2.90, 3 Te 3.03-3.05
Tm: 0.8936 0.6990 0.1949  1 Al 2.90, 3 Te 3.03-3.05

Uncorrected formation energy = -16.0 kcal/mol of atoms
Density of states at the Fermi level = 0.89 states/eV/atom

Entry 2:
DFT (GGA-PBE) results for a relaxed Tm7Al2Te2 crystal.

a = 3.8031 Å, b = 9.5580 Å, c = 9.5580 Å
α = 61.92°, β = 78.52°, γ = 78.52°
Closest atoms and distances in Å follow each position.
Sites, in units of the cell vectors:
Tm: 0.1752 0.6982 0.9514  1 Al 2.93, 3 Te 3.02-3.12
Te: 0.7398 0.8473 0.6731  7 Tm 3.02-3.12
Tm: 0.3906 0.7105 0.5082  2 Te 3.07, 3 Al 3.08-3.14
Tm: 0.6094 0.4918 0.2895  2 Te 3.07, 3 Al 3.08-3.14
Te: 0.2602 0.3269 0.1527  7 Tm 3.02-3.12
Tm: 0.8248 0.0486 0.3018  1 Al 2.93, 3 Te 3.02-3.12
Al: 0.5000 0.3431 0.6569  7 Tm 3.05-3.08
Tm: 0.5000 0.0322 0.9678  3 Al 3.06-3.11
Tm: 0.1453 0.1411 0.5683  2 Al 3.05, 2 Te 3.12
Tm: 0.8547 0.4317 0.8589  2 Al 3.05, 2 Te 3.12
Al: 0.0000 0.7824 0.2176  8 Tm 2.93-3.14

Uncorrected formation energy = -11.3 kcal/mol of atoms
Density of states at the Fermi level = 1.06 states/eV/atom
Energy above the most stable polymorph in this dataset = 100 meV/atom

Entry 3:
DFT (GGA-PBE) results for a relaxed Tm2AlTe crystal.

a = 3.9024 Å, b = 3.9024 Å, c = 8.4541 Å
α = 76.66°, β = 76.66°, γ = 60.00°
Closest atoms and distances in Å follow each position.
Sites, in units of the cell vectors:
Te: 0.4993 0.4993 0.5022  6 Tm 3.06-3.08
Tm: 0.0814 0.0814 0.7559  3 Al 2.99, 3 Te 3.06
Al: 0.6674 0.6674 0.9978  6 Tm 2.99-3.02
Tm: 0.2520 0.2520 0.2441  3 Al 3.02, 3 Te 3.08

Uncorrected formation energy = -15.3 kcal/mol of atoms
Density of states at the Fermi level = 0.61 states/eV/atom
Energy above the most stable polymorph in this dataset = 186 meV/atom

Entry 4:
DFT (GGA-PBE) results for a relaxed Tm2AlTe crystal.

a = 4.0217 Å, b = 4.0217 Å, c = 8.0706 Å
α = 75.57°, β = 75.57°, γ = 60.00°
Closest atoms and distances in Å follow each position.
Sites, in units of the cell vectors:
Tm: 0.2527 0.2527 0.2418  3 Al 2.98, 3 Te 3.06
Tm: 0.7473 0.7473 0.7582  3 Al 2.98, 3 Te 3.06
Te: 0.5000 0.5000 0.5000  6 Tm 3.06
Al: 0.0000 0.0000 0.0000  6 Tm 2.98

Uncorrected formation energy = -16.2 kcal/mol of atoms
Density of states at the Fermi level = 0.41 states/eV/atom
Energy above the most stable polymorph in this dataset = 148 meV/atom

Entry 5:
DFT (GGA-PBE) results for a relaxed Tm4AlTe3 crystal.

a = 4.1971 Å, b = 7.5197 Å, c = 7.5197 Å
α = 108.62°, β = 90.00°, γ = 90.00°
Closest atoms and distances in Å follow each position.
Sites, in units of the cell vectors:
Te: 0.0000 0.0000 0.5000  6 Tm 3.04-3.06
Al: 0.5000 0.0000 0.0000  6 Tm 2.87-2.92
Te: 0.5000 0.5000 0.5000  6 Tm 3.15-3.23
Te: 0.0000 0.5000 0.0000  6 Tm 3.04-3.06
Tm: 0.0000 0.7680 0.7680  2 Al 2.92, 4 Te 3.06-3.15
Tm: 0.0000 0.2320 0.2320  2 Al 2.92, 4 Te 3.06-3.15
Tm: 0.5000 0.7646 0.2354  1 Al 2.87, 4 Te 3.04
Tm: 0.5000 0.2354 0.7646  1 Al 2.87, 4 Te 3.04

Uncorrected formation energy = -22.7 kcal/mol of atoms
Density of states at the Fermi level = 0.33 states/eV/atom

Entry 6:
DFT (GGA-PBE) results for a relaxed UAlTe3 crystal.

a = 7.6364 Å, b = 7.6364 Å, c = 7.6364 Å
α = 90.89°, β = 107.05°, γ = 133.72°
Closest atoms and distances in Å follow each position.
Sites, in units of the cell vectors:
Te: 0.0159 0.7817 0.7342  2 Al 2.84, 2 U 3.07
Al: 0.0317 0.5317 0.0000  4 Te 2.84-2.95, 2 Al 3.00
Te: 0.5316 0.7560 0.7244  1 Al 2.95, 2 Te 3.00, 2 U 3.19
U: 0.4436 0.2817 0.6620  6 Te 3.07-3.19, 2 Al 3.42
Te: 0.0317 0.2560 0.7244  1 Al 2.95, 2 Te 3.00, 2 U 3.19
Te: 0.0474 0.2817 0.2658  2 Al 2.84, 2 U 3.07
Te: 0.0317 0.8073 0.2756  1 Al 2.95, 2 Te 3.00, 2 U 3.19
U: 0.6197 0.7817 0.3380  6 Te 3.07-3.19, 2 Al 3.42
Al: 0.5317 0.0317 0.0000  4 Te 2.84-2.95, 2 Al 3.00
Te: 0.5316 0.3073 0.2756  1 Al 2.95, 2 Te 3.00, 2 U 3.19

Uncorrected formation energy = -3.4 kcal/mol of atoms
Density of states at the Fermi level = 1.50 states/eV/atom